## NdCr2GaO6 (GGA+U)

Data for NdCr2GaO6 after structural relaxation.

abc: 5.335 5.335 5.548
angles: 61.27 61.26 60.00
Site moments in Bohr magnetons follow the coordinates.
Positions (direct):
1 Nd 0.783 0.783 0.652  0.01
2 Cr 0.519 0.519 0.442  2.97
3 Cr 0.012 0.012 0.963  2.95
4 Ga 0.313 0.313 0.062  0.03
5 O 0.619 0.252 0.221  -0.02
6 O 0.252 0.908 0.221  -0.02
7 O 0.908 0.619 0.221  -0.02
8 O 0.347 0.728 0.744  -0.02
9 O 0.728 0.181 0.744  -0.02
10 O 0.181 0.347 0.744  -0.02

Summary:
Raw total energy ... -7.48 eV per atom
Space group ... No. 146
M_tot ... 6.00 Bohr magnetons per cell